Entry 1:
Material: SbPt2Se
Method: DFT, PBE
State: optimized geometry

As for the energy above the lowest structure with this stoichiometry: 13.0 kJ per mole of atoms. The crystal system is orthorhombic. As for the formation energy from raw total energies: -3.0 kcal/mol of atoms.

The structure in POSCAR format:
```
SbPt2Se
1.0
3.728 0.000 0.000
0.000 4.753 -0.005
0.000 1.368 4.544
Se Pt Sb
1 2 1
Cartesian
1.864 4.591 3.405
0.000 6.114 4.535
0.000 3.067 2.275
1.864 1.530 1.135
```

Entry 2:
Material: Sb2Pt2Se
Method: DFT, PBE
State: optimized geometry

As for the energy above the lowest structure with this stoichiometry: 0.0 kJ per mole of atoms. The crystal system is tetragonal. As for the formation energy from raw total energies: -4.3 kcal/mol of atoms.

The structure in POSCAR format:
```
Sb2Pt2Se
1.0
-2.748 -0.156 2.758
-0.041 -3.887 -0.261
3.882 -2.429 6.483
Sb Pt Se
2 2 1
Cartesian
-0.128 -2.119 2.505
1.221 -4.352 6.475
-0.130 -2.303 5.244
1.223 -4.169 3.735
0.000 0.000 0.000
```

Entry 3:
Material: SbPtSe
Method: DFT, PBE
State: optimized geometry

The crystal system is cubic. As for the formation energy from raw total energies: 6.4 kcal/mol of atoms.

The structure in POSCAR format:
```
SbPtSe
1.0
-4.442 -0.439 -1.363
-2.974 -2.559 2.526
-3.401 2.087 2.420
Sb Pt Se
1 1 1
Cartesian
-8.113 -0.683 2.687
-5.408 -0.456 1.792
0.000 0.000 0.000
```

Entry 4:
Material: SbPtSe
Method: DFT, PBE
State: optimized geometry

The crystal system is orthorhombic. As for the formation energy from raw total energies: -9.8 kcal/mol of atoms.

The structure in POSCAR format:
```
SbPtSe
1.0
4.118 0.000 0.000
0.000 5.270 0.000
0.000 0.000 6.374
Se Sb Pt
2 2 2
Cartesian
2.059 2.859 0.817
0.000 2.411 4.004
2.059 5.075 5.599
0.000 0.195 2.412
0.000 1.315 0.007
2.059 3.955 3.194
```

Entry 5:
Material: SbPt3Se
Method: DFT, PBE
State: optimized geometry

As for the energy above the lowest structure with this stoichiometry: 0.0 kJ per mole of atoms. The crystal system is cubic. As for the formation energy from raw total energies: 11.4 kcal/mol of atoms.

The structure in POSCAR format:
```
SbPt3Se
1.0
4.758 0.000 0.000
0.000 4.758 0.000
0.000 0.000 4.758
Sb Pt Se
1 3 1
Cartesian
2.379 2.379 2.379
2.379 0.000 0.000
0.000 0.000 2.379
0.000 2.379 0.000
0.000 0.000 0.000
```

Entry 6:
Material: Sb2Pt2Se
Method: DFT, PBE
State: optimized geometry

As for the energy above the lowest structure with this stoichiometry: 8.4 kJ per mole of atoms. The crystal system is tetragonal. As for the formation energy from raw total energies: -2.3 kcal/mol of atoms.

The structure in POSCAR format:
```
Sb2Pt2Se
1.0
-5.493 -4.022 3.042
-2.765 -1.360 -6.790
2.117 -3.076 -0.245
Se Pt Sb
2 4 4
Cartesian
0.000 0.000 0.000
-4.129 -2.691 -1.874
-4.394 -2.643 -4.762
-3.863 -2.739 1.014
-1.751 -1.040 -2.065
-6.506 -4.342 -1.682
-4.496 -5.379 0.124
-1.645 -3.080 -4.117
-1.252 -3.123 -0.175
-4.889 -5.335 -3.818
```

Entry 7:
Material: Sb2PtSe2
Method: DFT, PBE
State: optimized geometry

As for the energy above the lowest structure with this stoichiometry: 0.6 kJ per mole of atoms. The crystal system is tetragonal. As for the formation energy from raw total energies: 1.3 kcal/mol of atoms.

The structure in POSCAR format:
```
Sb2PtSe2
1.0
5.713 0.000 0.000
0.000 5.713 0.000
2.856 2.856 3.937
Sb Se Pt
2 2 1
Cartesian
2.856 5.713 1.968
5.713 2.856 1.968
5.713 5.713 2.409
2.856 2.856 1.528
0.000 0.000 0.000
```

Entry 8:
Material: SbPt2Se
Method: DFT, PBE
State: optimized geometry

As for the energy above the lowest structure with this stoichiometry: 9.1 kJ per mole of atoms. The crystal system is orthorhombic. As for the formation energy from raw total energies: -3.9 kcal/mol of atoms.

The structure in POSCAR format:
```
SbPt2Se
1.0
5.619 0.004 -0.027
4.332 3.579 -0.027
0.016 0.006 3.840
Pt Sb Se
2 1 1
Cartesian
9.725 3.501 0.429
7.714 2.777 2.357
5.202 1.873 2.373
2.262 0.814 0.467
```

Entry 9:
Material: SbPtSe3
Method: DFT, PBE
State: optimized geometry

As for the energy above the lowest structure with this stoichiometry: 55.7 kJ per mole of atoms. The crystal system is cubic. As for the formation energy from raw total energies: 7.2 kcal/mol of atoms.

The structure in POSCAR format:
```
SbPtSe3
1.0
4.968 0.000 0.000
0.000 4.968 0.000
0.000 0.000 4.968
Se Pt Sb
3 1 1
Cartesian
0.000 0.000 2.484
2.484 0.000 0.000
0.000 2.484 0.000
0.000 0.000 0.000
2.484 2.484 2.484
```

Entry 10:
Material: SbPtSe
Method: DFT, PBE
State: optimized geometry

The crystal system is monoclinic. As for the formation energy from raw total energies: -6.8 kcal/mol of atoms.

The structure in POSCAR format:
```
SbPtSe
1.0
-5.110 0.758 -0.984
-0.799 -7.755 -1.820
-1.272 0.541 7.020
Pt Sb Se
4 4 4
Cartesian
-2.423 -0.023 5.540
-4.358 -2.556 -0.414
-2.823 -3.901 4.630
-4.758 -6.434 -1.324
-2.658 -5.494 2.547
-4.523 -0.962 1.669
-2.259 -1.617 3.457
-4.923 -4.840 0.759
-2.111 -6.720 -1.239
-5.470 -3.614 4.545
-5.071 0.263 5.455
-1.711 -2.842 -0.329
```

Entry 11:
Material: SbPtSe4
Method: DFT, PBE
State: optimized geometry

As for the energy above the lowest structure with this stoichiometry: 0.0 kJ per mole of atoms. The crystal system is monoclinic. As for the formation energy from raw total energies: -6.0 kcal/mol of atoms.

The structure in POSCAR format:
```
SbPtSe4
1.0
-2.410 1.535 -2.536
1.334 -4.896 -4.232
-9.756 -5.045 6.217
Se Sb Pt
8 2 2
Cartesian
-0.587 -2.549 -0.985
-1.304 -4.006 -4.063
-5.854 -1.110 -0.864
-6.670 -4.304 0.855
-10.245 -5.857 0.435
-9.528 -4.400 3.512
-4.162 -4.102 -1.406
-4.978 -7.296 0.313
-6.083 -1.755 1.841
0.000 0.000 0.000
-0.538 -1.681 -3.384
-4.211 -4.971 0.993
```

Entry 12:
Material: SbPt2Se
Method: DFT, PBE
State: optimized geometry

As for the energy above the lowest structure with this stoichiometry: 26.7 kJ per mole of atoms. The crystal system is cubic. As for the formation energy from raw total energies: 0.3 kcal/mol of atoms.

The structure in POSCAR format:
```
SbPt2Se
1.0
1.248 -4.540 0.286
-2.153 -2.848 3.082
-2.935 -3.355 -1.542
Pt Sb Se
2 1 1
Cartesian
-0.960 -2.686 0.457
-2.880 -8.057 1.370
-1.920 -5.372 0.913
0.000 0.000 0.000
```